Entry 1:
{"formula": "Sr7Ca", "functional": "GGA-PBE", "state": "relaxed", "lattice": [[0.000, 5.964, 5.964], [5.964, 0.000, 5.964], [5.964, 5.964, 0.000]], "species": ["Sr", "Sr", "Sr", "Sr", "Sr", "Sr", "Sr", "Ca"], "frac_coords": [[0.000, 0.000, 0.000], [0.000, 0.000, 0.500], [0.000, 0.500, 0.000], [0.000, 0.500, 0.500], [0.500, 0.000, 0.000], [0.500, 0.000, 0.500], [0.500, 0.500, 0.000], [0.500, 0.500, 0.500]], "delta_e_f_kj_per_mol_atoms": 0.74, "dos_ef_per_ev_cell": 9.8}


Entry 2:
{"formula": "VBi2Br", "functional": "GGA-PBE", "state": "relaxed", "lattice": [[-3.079, 3.079, 7.817], [3.079, -3.079, 7.817], [3.079, 3.079, -7.817]], "species": ["V", "V", "Bi", "Bi", "Bi", "Bi", "Br", "Br"], "frac_coords": [[0.000, 0.000, 0.000], [0.750, 0.250, 0.500], [0.030, 0.625, 0.905], [0.375, 0.280, 0.405], [0.720, 0.125, 0.095], [0.875, 0.970, 0.595], [0.250, 0.750, 0.500], [0.500, 0.500, 0.000]], "e_above_lowest_polymorph_mev_per_atom": 0, "e_form_raw_ev_per_atom": 0.49, "dos_ef_per_ev_cell": 8.9}